Record 1
A plane-wave DFT calculation with GGA-PBE was carried out for LiAcSb2Pd2 after structural relaxation.

Cell and atoms, written as POSCAR:
```
LiAcSb2Pd2
1.0
4.6270 0.0000 0.0000
-2.3135 4.0071 0.0000
0.0000 0.0000 7.3693
Sb Ac Pd Li
2 1 2 1
direct
0.3333 0.6667 0.2893
0.6667 0.3333 0.7107
0.0000 0.0000 0.0000
0.3333 0.6667 0.6696
0.6667 0.3333 0.3304
0.0000 0.0000 0.5000
```

Properties
The space group is P-3m1, No. 164. For the size of the total moment, the calculation gives 0.00 μB per formula unit. The density of states at the Fermi level comes out at 3.94 states/eV/f.u. For the uncorrected energy, the calculation gives -4.95 eV/atom.

=====

Record 2
A plane-wave DFT calculation with GGA-PBE was carried out for Li3Ac2Sb4Pd after structural relaxation.

Cell and atoms, written as POSCAR:
```
Li3Ac2Sb4Pd
1.0
4.7227 0.0000 0.0000
0.0000 4.7227 0.0000
0.0000 0.0000 10.8797
Li Pd Sb Ac
3 1 4 2
direct
0.0000 0.0000 0.5000
0.0000 0.5000 0.1257
0.5000 0.0000 0.8743
0.5000 0.5000 0.5000
0.5000 0.0000 0.6340
0.5000 0.5000 0.0000
0.0000 0.0000 0.0000
0.0000 0.5000 0.3660
0.5000 0.0000 0.2606
0.0000 0.5000 0.7394
```

Properties
The space group is P-4m2, No. 115. For the size of the total moment, the calculation gives 0.00 μB per formula unit. The density of states at the Fermi level comes out at 2.85 states/eV/f.u. For the uncorrected energy, the calculation gives -4.40 eV/atom.

=====

Record 3
A plane-wave DFT calculation with GGA-PBE was carried out for LiAcSbPd after structural relaxation.

Cell and atoms, written as POSCAR:
```
LiAcSbPd
1.0
5.0665 0.0000 0.0000
2.5332 4.3877 0.0000
2.5332 1.4626 4.1368
Ac Pd Sb Li
1 1 1 1
direct
0.2500 0.2500 0.2500
0.5000 0.5000 0.5000
0.7500 0.7500 0.7500
0.0000 0.0000 0.0000
```

Properties
The space group is F-43m, No. 216. For the size of the total moment, the calculation gives 0.00 μB per formula unit. The density of states at the Fermi level comes out at 2.09 states/eV/f.u. For the uncorrected energy, the calculation gives -4.50 eV/atom.

=====

Record 4
A plane-wave DFT calculation with GGA-PBE was carried out for LiAcSi2Pd5 after structural relaxation.

Cell and atoms, written as POSCAR:
```
LiAcSi2Pd5
1.0
4.7402 0.0000 0.0000
0.0000 4.7402 0.0000
0.0000 0.0000 7.2241
Pd Si Ac Li
5 2 1 1
direct
0.5000 0.5000 0.5000
0.0000 0.5000 0.7837
0.5000 0.0000 0.2163
0.5000 0.0000 0.7837
0.0000 0.5000 0.2163
0.5000 0.5000 0.1579
0.5000 0.5000 0.8421
0.0000 0.0000 0.5000
0.0000 0.0000 0.0000
```

Properties
The space group is P4/mmm, No. 123. For the size of the total moment, the calculation gives 0.00 μB per formula unit. The density of states at the Fermi level comes out at 3.56 states/eV/f.u. For the uncorrected energy, the calculation gives -5.38 eV/atom.

=====

Record 5
A plane-wave DFT calculation with GGA-PBE was carried out for LiAcSiPd3 after structural relaxation.

Cell and atoms, written as POSCAR:
```
LiAcSiPd3
1.0
6.0417 0.0000 0.0000
0.0000 6.5662 0.0000
0.0000 -3.2831 5.8602
Pd Li Si Ac
6 2 2 2
direct
0.7500 0.8149 0.6298
0.5000 0.7164 0.0000
0.0000 0.2836 0.0000
0.0000 0.7164 0.0000
0.2500 0.1851 0.3702
0.5000 0.2836 0.0000
0.7500 0.0284 0.0567
0.2500 0.9716 0.9433
0.7500 0.6107 0.2214
0.2500 0.3893 0.7786
0.2500 0.7143 0.4286
0.7500 0.2857 0.5714
```

Properties
The space group is Cmcm, No. 63. For the size of the total moment, the calculation gives 0.00 μB per formula unit. The density of states at the Fermi level comes out at 2.61 states/eV/f.u. For the uncorrected energy, the calculation gives -5.12 eV/atom.

=====

Record 6
A plane-wave DFT calculation with GGA-PBE was carried out for LiAc3Si2Pd9 after structural relaxation.

Cell and atoms, written as POSCAR:
```
LiAc3Si2Pd9
1.0
6.0749 0.0000 0.0000
-3.0374 5.2610 0.0000
0.0000 0.0000 9.8649
Pd Li Ac Si
9 1 3 2
direct
0.5000 0.5000 0.0000
0.5000 0.0000 0.0000
0.8424 0.1576 0.6888
0.3152 0.1576 0.6888
0.0000 0.5000 0.0000
0.1576 0.3152 0.3112
0.1576 0.8424 0.3112
0.6848 0.8424 0.3112
0.8424 0.6848 0.6888
0.0000 0.0000 0.5000
0.6667 0.3333 0.3578
0.0000 0.0000 0.0000
0.3333 0.6667 0.6422
0.6667 0.3333 0.8339
0.3333 0.6667 0.1661
```

Properties
The space group is P-3m1, No. 164. For the size of the total moment, the calculation gives 0.00 μB per formula unit. The density of states at the Fermi level comes out at 7.08 states/eV/f.u. For the uncorrected energy, the calculation gives -5.46 eV/atom.

=====

Record 7
A plane-wave DFT calculation with GGA-PBE was carried out for LiAcSiPd6 after structural relaxation.

Cell and atoms, written as POSCAR:
```
LiAcSiPd6
1.0
-5.7735 -0.8321 0.4238
1.5076 -8.8910 3.0816
2.2659 6.8979 4.0576
Pd Si Ac Li
12 2 2 2
direct
0.9261 0.1761 0.8523
0.5601 0.3101 0.1202
0.6179 0.3428 0.7223
0.6179 0.8795 0.7223
0.4399 0.6899 0.8798
0.0739 0.8239 0.1477
0.8956 0.1205 0.2777
0.3821 0.6572 0.2777
0.3821 0.1205 0.2777
0.1044 0.3428 0.7223
0.1044 0.8795 0.7223
0.8956 0.6572 0.2777
0.5000 0.5000 0.0000
0.5000 0.0000 0.0000
0.1569 0.4069 0.3138
0.8431 0.5931 0.6862
0.0000 0.0000 0.5000
0.5000 0.0000 0.5000
```

Properties
The space group is Imma, No. 74. For the size of the total moment, the calculation gives 0.00 μB per formula unit. The density of states at the Fermi level comes out at 3.23 states/eV/f.u. For the uncorrected energy, the calculation gives -5.13 eV/atom.

=====

Record 8
A plane-wave DFT calculation with GGA-PBE was carried out for LiAc2SiPd6 after structural relaxation.

Cell and atoms, written as POSCAR:
```
LiAc2SiPd6
1.0
6.7510 -0.2589 0.9511
-0.2824 6.5022 -0.7706
3.9130 2.5781 4.9695
Pd Ac Si Li
6 2 1 1
direct
0.2421 0.2606 0.4900
0.7502 0.8865 0.8651
0.7516 0.2609 0.9804
0.7579 0.7394 0.5100
0.2498 0.1135 0.1349
0.2484 0.7391 0.0196
0.2584 0.7245 0.5344
0.7416 0.2755 0.4656
0.5000 0.5000 0.0000
0.0000 0.0000 0.0000
```

Properties
The space group is P-1, No. 2. For the size of the total moment, the calculation gives 0.00 μB per formula unit. The density of states at the Fermi level comes out at 3.26 states/eV/f.u. For the uncorrected energy, the calculation gives -5.37 eV/atom.

=====

Record 9
A plane-wave DFT calculation with GGA-PBE was carried out for LiAcSi2Pd after structural relaxation.

Cell and atoms, written as POSCAR:
```
LiAcSi2Pd
1.0
-3.3019 -1.9291 2.1130
-1.7786 -1.1435 -3.8233
5.1703 -2.8640 0.9477
Si Pd Ac Li
2 1 1 1
direct
0.6175 0.6175 0.2350
0.3825 0.3825 0.7650
0.7500 0.2500 0.5000
0.0000 0.0000 0.0000
0.2500 0.7500 0.5000
```

Properties
The space group is I-4m2, No. 119. For the size of the total moment, the calculation gives 0.00 μB per formula unit. The density of states at the Fermi level comes out at 2.05 states/eV/f.u. For the uncorrected energy, the calculation gives -5.10 eV/atom.

=====

Record 10
A plane-wave DFT calculation with GGA-PBE was carried out for LiAcSmPd after structural relaxation.

Cell and atoms, written as POSCAR:
```
LiAcSmPd
1.0
-3.4012 2.9166 -2.8615
-1.8903 -1.8742 -4.6019
-5.0952 -1.4690 -0.3796
Ac Sm Pd Li
1 1 1 1
direct
0.5000 0.5000 0.5000
0.0000 0.0000 0.0000
0.7500 0.7500 0.7500
0.2500 0.2500 0.2500
```

Properties
The space group is F-43m, No. 216. For the size of the total moment, the calculation gives 0.00 μB per formula unit. The density of states at the Fermi level comes out at 2.53 states/eV/f.u. The calculation puts the formation energy at -290 meV/atom.

=====

Record 11
A plane-wave DFT calculation with GGA-PBE was carried out for LiAcSn2Pd5 after structural relaxation.

Cell and atoms, written as POSCAR:
```
LiAcSn2Pd5
1.0
-2.1032 -2.9565 2.3115
-1.2643 -1.9367 -3.6274
8.4148 -5.8411 0.1856
Sn Pd Li Ac
2 5 1 1
direct
0.5000 0.5000 0.1366
0.5000 0.5000 0.8634
0.5000 0.0000 0.7136
0.0000 0.5000 0.2864
0.5000 0.5000 0.5000
0.0000 0.5000 0.7136
0.5000 0.0000 0.2864
0.0000 0.0000 0.0000
0.0000 0.0000 0.5000
```

Properties
The space group is P4/mmm, No. 123. For the size of the total moment, the calculation gives 0.00 μB per formula unit. The density of states at the Fermi level comes out at 3.56 states/eV/f.u. The calculation puts the formation energy at -522 meV/atom.

=====

Record 12
A plane-wave DFT calculation with GGA-PBE was carried out for LiAc2Sn3Pd6 after structural relaxation.

Cell and atoms, written as POSCAR:
```
LiAc2Sn3Pd6
1.0
4.2610 0.0000 0.0000
0.0000 4.2610 0.0000
0.0000 0.0000 16.3377
Pd Sn Li Ac
6 3 1 2
direct
0.5000 0.0000 0.4130
0.5000 0.0000 0.5870
0.0000 0.0000 0.8432
0.0000 0.0000 0.1568
0.0000 0.5000 0.5870
0.0000 0.5000 0.4130
0.0000 0.0000 0.6794
0.0000 0.0000 0.3206
0.0000 0.0000 0.0000
0.5000 0.5000 0.5000
0.5000 0.5000 0.8002
0.5000 0.5000 0.1998
```

Properties
The space group is P4/mmm, No. 123. For the size of the total moment, the calculation gives 0.00 μB per formula unit. The density of states at the Fermi level comes out at 7.59 states/eV/f.u. The calculation puts the formation energy at -457 meV/atom.